[1]
Entry from Alexandria via LeMat-Bulk: a geometry-optimized Bi2PtPbS structure (PBE).

* E_form (uncorrected): 1189 meV per atom

Unit cell a=5.8769 b=5.8769 c=4.9291 alpha=90.00 beta=90.00 gamma=90.00
Atoms (fractional coordinates):
Bi: 0.0000 0.5000 0.0000
Bi: 0.5000 0.0000 0.0000
Pt: 0.0000 0.0000 0.5000
Pb: 0.5000 0.5000 0.0000
S: 0.5000 0.5000 0.5000

[2]
Entry from Alexandria via LeMat-Bulk: a geometry-optimized CaDyGaAg structure (PBE).

* DFT formation energy: -1.690 eV/f.u.

Unit cell a=3.6442 b=3.6442 c=7.3262 alpha=90.00 beta=90.00 gamma=90.00
Atoms (fractional coordinates):
Ca: 0.0000 0.0000 0.0000
Dy: 0.0000 0.0000 0.5086
Ga: 0.5000 0.5000 0.7371
Ag: 0.5000 0.5000 0.2703

[3]
Entry from Alexandria via LeMat-Bulk: a geometry-optimized LaHo2Ti structure (PBE).

* DFT formation energy: 0.621 eV/f.u.

Unit cell a=3.3910 b=3.3910 c=9.9799 alpha=90.00 beta=90.00 gamma=90.00
Atoms (fractional coordinates):
La: 0.0000 0.0000 0.0000
Ho: 0.5000 0.5000 0.2932
Ho: 0.5000 0.5000 0.7068
Ti: 0.0000 0.0000 0.5000

[4]
Entry from Alexandria via LeMat-Bulk: a geometry-optimized TaAu2Br structure (PBE).

* E_form (uncorrected): 2 meV per atom

Unit cell a=10.0218 b=10.0218 c=10.0218 alpha=18.01 beta=18.01 gamma=18.01
Atoms (fractional coordinates):
Ta: 0.0000 0.0000 0.0000
Au: 0.4840 0.4840 0.4840
Au: 0.7405 0.7405 0.7405
Br: 0.2678 0.2678 0.2678

[5]
Entry from Alexandria via LeMat-Bulk: a geometry-optimized Cs3PaBi2O9 structure (PBE).

* E_form (uncorrected): -1688 meV per atom

Unit cell a=6.2448 b=6.2448 c=7.6615 alpha=90.00 beta=90.00 gamma=120.00
Atoms (fractional coordinates):
Cs: 0.0000 0.0000 0.0000
Cs: 0.3333 0.6667 0.6720
Cs: 0.6667 0.3333 0.3280
Pa: 0.0000 0.0000 0.5000
Bi: 0.3333 0.6667 0.1687
Bi: 0.6667 0.3333 0.8313
O: 0.0000 0.5000 0.0000
O: 0.1656 0.3312 0.3373
O: 0.1656 0.8344 0.3373
O: 0.3312 0.1656 0.6627
O: 0.5000 0.0000 0.0000
O: 0.5000 0.5000 0.0000
O: 0.6688 0.8344 0.3373
O: 0.8344 0.1656 0.6627
O: 0.8344 0.6688 0.6627

[6]
Entry from Alexandria via LeMat-Bulk: a geometry-optimized Nd12Sm6Y structure (PBE).

* DFT formation energy: 2.472 eV/f.u.

Unit cell a=8.7541 b=8.7541 c=8.7541 alpha=89.12 beta=89.12 gamma=89.12
Atoms (fractional coordinates):
Nd: 0.0173 0.1937 0.3608
Nd: 0.1937 0.3608 0.0173
Nd: 0.2202 0.4638 0.5658
Nd: 0.3608 0.0173 0.1937
Nd: 0.4342 0.7798 0.5362
Nd: 0.4638 0.5658 0.2202
Nd: 0.5362 0.4342 0.7798
Nd: 0.5658 0.2202 0.4638
Nd: 0.6392 0.9827 0.8063
Nd: 0.7798 0.5362 0.4342
Nd: 0.8063 0.6392 0.9827
Nd: 0.9827 0.8063 0.6392
Sm: 0.0965 0.6997 0.2615
Sm: 0.2615 0.0965 0.6997
Sm: 0.3003 0.7385 0.9035
Sm: 0.6997 0.2615 0.0965
Sm: 0.7385 0.9035 0.3003
Sm: 0.9035 0.3003 0.7385
Y: 0.0000 0.0000 0.0000

[7]
Entry from Alexandria via LeMat-Bulk: a geometry-optimized ScTaMo structure (PBE).

* DFT formation energy: 0.334 eV/f.u.

Unit cell a=7.3266 b=7.1008 c=2.9592 alpha=82.48 beta=73.91 gamma=23.60
Atoms (fractional coordinates):
Sc: 0.0000 0.0000 0.0000
Ta: 0.3134 0.3134 0.6866
Mo: 0.6668 0.6668 0.3332

[8]
Entry from Alexandria via LeMat-Bulk: a geometry-optimized La3TbPr2Te6 structure (PBE).

* E_form (uncorrected): -1499 meV per atom

Unit cell a=10.1063 b=10.1063 c=9.0921 alpha=102.55 beta=102.55 gamma=25.83
Atoms (fractional coordinates):
La: 0.0000 0.0000 0.0000
La: 0.3299 0.3299 0.6663
La: 0.6701 0.6701 0.3337
Tb: 0.0000 0.0000 0.5000
Pr: 0.3322 0.3322 0.1655
Pr: 0.6678 0.6678 0.8345
Te: 0.1614 0.1614 0.5817
Te: 0.1665 0.1665 0.0817
Te: 0.4993 0.4993 0.7391
Te: 0.5007 0.5007 0.2609
Te: 0.8335 0.8335 0.9183
Te: 0.8386 0.8386 0.4183

Summary of DOS at the Fermi energy in states/eV/cell
5.1 2.6 5.6 4.2 7.9 31.0 3.5 7.5
(order as listed above)